No. 1
# LiThZn2Ga4

A relaxed LiThZn2Ga4 crystal (GGA-PBE, Alexandria).

## Properties
ρ: 7.31 g cm⁻³
Total moment: 0.0 Bohr magnetons per cell
Energy relative to the elements: -0.249 eV per atom
DOS(E_F): 2.86 states/eV/cell

Unit cell a=4.455 b=4.455 c=8.953 alpha=75.59 beta=75.59 gamma=60.00
Positions (direct):
1 Ga 0.602 0.602 0.195
2 Ga 0.869 0.869 0.394
3 Ga 0.131 0.131 0.606
4 Ga 0.398 0.398 0.805
5 Zn 0.245 0.245 0.266
6 Zn 0.755 0.755 0.734
7 Li 0.500 0.500 0.500
8 Th 0.000 0.000 0.000

No. 2
# Pm3SiGe2

A relaxed Pm3SiGe2 crystal (GGA-PBE, Alexandria).

## Properties
ρ: 6.81 g cm⁻³
Total moment: 1.9 Bohr magnetons per cell
Excess energy over the best structure of this formula in the dataset: 0.0 meV/atom
DOS(E_F): 16.89 states/eV/cell

Unit cell a=4.179 b=11.932 c=11.902 alpha=90.00 beta=90.00 gamma=90.00
Last column: magnetic moment on the atom in μB.
Positions (direct):
1 Pm 0.750 0.622 0.939  0.07
2 Pm 0.250 0.444 0.384  0.05
3 Pm 0.250 0.707 0.209  0.09
4 Pm 0.750 0.944 0.116  0.05
5 Pm 0.250 0.793 0.709  0.09
6 Pm 0.250 0.378 0.061  0.07
7 Pm 0.250 0.122 0.561  0.07
8 Pm 0.750 0.293 0.791  0.09
9 Pm 0.250 0.056 0.884  0.05
10 Pm 0.750 0.878 0.439  0.07
11 Pm 0.750 0.556 0.616  0.05
12 Pm 0.750 0.207 0.291  0.09
13 Ge 0.250 0.492 0.808  -0.01
14 Ge 0.750 0.307 0.521  0.00
15 Ge 0.750 0.193 0.021  0.00
16 Ge 0.250 0.008 0.308  -0.01
17 Ge 0.750 0.508 0.192  -0.01
18 Ge 0.750 0.992 0.692  -0.01
19 Ge 0.250 0.693 0.479  0.00
20 Ge 0.250 0.807 0.979  0.00
21 Si 0.250 0.129 0.132  0.00
22 Si 0.750 0.629 0.368  0.00
23 Si 0.750 0.871 0.868  0.00
24 Si 0.250 0.371 0.632  0.00

No. 3
# DyGaBr4

A relaxed DyGaBr4 crystal (GGA-PBE, Alexandria).

## Properties
Energy: -22.84 eV per cell
ρ: 4.01 g cm⁻³
Total moment: 0.0 Bohr magnetons per cell
DOS(E_F): 0.00 states/eV/cell

Unit cell a=4.222 b=7.274 c=7.897 alpha=99.24 beta=89.99 gamma=106.92
Positions (direct):
1 Br 0.887 0.775 0.677
2 Br 0.615 0.230 0.893
3 Br 0.113 0.225 0.323
4 Br 0.385 0.770 0.107
5 Dy 0.000 0.000 0.000
6 Ga 0.500 0.000 0.500